(1)
Material: Tm2CdIn
Method: DFT, SCAN
State: PBEsol geometry

Unit cell a=5.1445 b=5.1445 c=5.1445 alpha=60.00 beta=60.00 gamma=60.00
Last column: nearest neighbours and their distance in Å.
Element x y z (fractional)
1 Tm 0.2500 0.2500 0.2500  4 Cd 3.15, 4 In 3.15
2 Tm 0.7500 0.7500 0.7500  4 In 3.15, 4 Cd 3.15
3 Cd 0.0000 0.0000 0.0000  8 Tm 3.15
4 In 0.5000 0.5000 0.5000  8 Tm 3.15

Values from the calculation:
formation enthalpy at 0 K	-0.514	eV per atom
magnetization	0.017	μB/f.u.


(2)
Material: Y4CdIn
Method: DFT, SCAN
State: PBEsol geometry

Unit cell a=6.1909 b=6.1909 c=6.1909 alpha=60.00 beta=60.00 gamma=60.00
Last column: nearest neighbours and their distance in Å.
Element x y z (fractional)
1 Y 0.1254 0.1254 0.1254  6 Y 3.09-3.10
2 Y 0.1254 0.1254 0.6239  6 Y 3.09-3.10
3 Y 0.1254 0.6239 0.1254  6 Y 3.09-3.10
4 Y 0.6239 0.1254 0.1254  6 Y 3.09-3.10
5 Cd 0.7500 0.7500 0.7500  12 Y 3.63, 4 In 3.79
6 In 0.5000 0.5000 0.5000  12 Y 3.63, 4 Cd 3.79

Values from the calculation:
formation enthalpy at 0 K	0.212	eV per atom
magnetization	0.000	μB/f.u.


no.,uncorrected energy (eV for the cell shown)
1,-169.52
2,-173.90